Record 1
Zr4CrCl (PBE, optimized geometry); SG = F-43m; uncorrected formation energy = 703 meV per atom
1.0
0.000 4.118 4.118
4.118 0.000 4.118
4.118 4.118 0.000
Zr Cr Cl
4 1 1
Direct
0.378 0.378 0.378
0.378 0.378 0.866
0.378 0.866 0.378
0.866 0.378 0.378
0.750 0.750 0.750
0.000 0.000 0.000

***

Record 2
TmPa3N6 (PBE, optimized geometry); polymorph energy (0 for the lowest one) = 223 meV per atom; SG = Cmmm; uncorrected formation energy = -1427 meV per atom
1.0
3.898 -5.579 0.000
3.898 5.579 0.000
0.000 0.000 3.666
Tm Pa N
1 3 6
Direct
0.000 0.000 0.000
0.000 0.500 0.500
0.500 0.000 0.500
0.500 0.500 0.000
0.147 0.853 0.500
0.167 0.427 0.000
0.427 0.167 0.000
0.573 0.833 0.000
0.833 0.573 0.000
0.853 0.147 0.500